(1)
Entry from OQMD: K2CuHgBr6 after structural relaxation (PBE).

Structure (CIF):
```
data_K2CuHgBr6
_chemical_formula_sum 'K2 Cu1 Hg1 Br6'
_cell_length_a 7.6042
_cell_length_b 7.6042
_cell_length_c 7.6042
_cell_angle_alpha 60.00
_cell_angle_beta 60.00
_cell_angle_gamma 60.00
_symmetry_space_group_name_H-M 'P 1'
_symmetry_Int_Tables_number 1
loop_
_symmetry_equiv_pos_as_xyz
'x,y,z'
loop_
_atom_site_label
_atom_site_type_symbol
_atom_site_fract_x
_atom_site_fract_y
_atom_site_fract_z
K1 K 0.2500 0.2500 0.2500
K2 K 0.7500 0.7500 0.7500
Cu1 Cu 0.0000 0.0000 0.0000
Hg1 Hg 0.5000 0.5000 0.5000
Br1 Br 0.2397 0.2397 0.7603
Br2 Br 0.2397 0.7603 0.2397
Br3 Br 0.2397 0.7603 0.7603
Br4 Br 0.7603 0.2397 0.2397
Br5 Br 0.7603 0.2397 0.7603
Br6 Br 0.7603 0.7603 0.2397
```

Summary:
Its electronic total energy is -2.48 eV/atom. The calculated volume comes out at 31.09 Å³ per atom.

=====

(2)
Entry from OQMD: NbMo after structural relaxation (PBE).

Structure (CIF):
```
data_NbMo
_chemical_formula_sum 'Nb1 Mo1'
_cell_length_a 4.1184
_cell_length_b 4.1184
_cell_length_c 4.1184
_cell_angle_alpha 60.00
_cell_angle_beta 60.00
_cell_angle_gamma 60.00
_symmetry_space_group_name_H-M 'P 1'
_symmetry_Int_Tables_number 1
loop_
_symmetry_equiv_pos_as_xyz
'x,y,z'
loop_
_atom_site_label
_atom_site_type_symbol
_atom_site_fract_x
_atom_site_fract_y
_atom_site_fract_z
Nb1 Nb 0.0000 0.0000 0.0000
Mo1 Mo 0.2500 0.2500 0.2500
```

Summary:
The energy relative to the elements comes out at 2.37 eV per atom. Its electronic total energy is -8.11 eV/atom. The total magnetization comes out at 0.012 μB per cell. The calculated volume comes out at 24.70 Å³ per atom.

=====

(3)
Entry from OQMD: NdReSn after structural relaxation (PBE).

Structure (CIF):
```
data_NdReSn
_chemical_formula_sum 'Nd1 Re1 Sn1'
_cell_length_a 4.7773
_cell_length_b 4.7773
_cell_length_c 4.7773
_cell_angle_alpha 60.00
_cell_angle_beta 60.00
_cell_angle_gamma 60.00
_symmetry_space_group_name_H-M 'P 1'
_symmetry_Int_Tables_number 1
loop_
_symmetry_equiv_pos_as_xyz
'x,y,z'
loop_
_atom_site_label
_atom_site_type_symbol
_atom_site_fract_x
_atom_site_fract_y
_atom_site_fract_z
Nd1 Nd 0.0000 0.0000 0.0000
Re1 Re 0.5000 0.5000 0.5000
Sn1 Sn 0.2500 0.2500 0.2500
```

Summary:
Its electronic total energy is -6.43 eV/atom. The total magnetization comes out at 0.042 μB per cell. The calculated volume comes out at 25.70 Å³ per atom.

=====

(4)
Entry from OQMD: LiZnNO after structural relaxation (PBE).

Structure (CIF):
```
data_LiZnNO
_chemical_formula_sum 'Li2 Zn2 N2 O2'
_cell_length_a 3.7806
_cell_length_b 3.5719
_cell_length_c 5.7266
_cell_angle_alpha 90.00
_cell_angle_beta 90.00
_cell_angle_gamma 90.00
_symmetry_space_group_name_H-M 'P 1'
_symmetry_Int_Tables_number 1
loop_
_symmetry_equiv_pos_as_xyz
'x,y,z'
loop_
_atom_site_label
_atom_site_type_symbol
_atom_site_fract_x
_atom_site_fract_y
_atom_site_fract_z
Li1 Li 0.2500 0.0000 0.2290
Li2 Li 0.7500 0.0000 0.7710
Zn1 Zn 0.2500 0.5000 0.7593
Zn2 Zn 0.7500 0.5000 0.2407
N1 N 0.2500 0.0000 0.5713
N2 N 0.7500 0.0000 0.4287
O1 O 0.2500 0.5000 0.1394
O2 O 0.7500 0.5000 0.8606
```

Summary:
Its electronic total energy is -4.40 eV/atom. The calculated volume comes out at 9.67 Å³ per atom.

=====

(5)
Entry from OQMD: GdDyTh after structural relaxation (PBE).

Structure (CIF):
```
data_GdDyTh
_chemical_formula_sum 'Gd1 Dy1 Th1'
_cell_length_a 5.4152
_cell_length_b 5.4152
_cell_length_c 5.4152
_cell_angle_alpha 60.00
_cell_angle_beta 60.00
_cell_angle_gamma 60.00
_symmetry_space_group_name_H-M 'P 1'
_symmetry_Int_Tables_number 1
loop_
_symmetry_equiv_pos_as_xyz
'x,y,z'
loop_
_atom_site_label
_atom_site_type_symbol
_atom_site_fract_x
_atom_site_fract_y
_atom_site_fract_z
Gd1 Gd 0.0000 0.0000 0.0000
Dy1 Dy 0.2500 0.2500 0.2500
Th1 Th 0.5000 0.5000 0.5000
```

Summary:
The energy relative to the elements comes out at 0.80 eV per atom. Its electronic total energy is -4.75 eV/atom. The total magnetization comes out at 0.044 μB per cell. The calculated volume comes out at 37.43 Å³ per atom.

=====

(6)
Entry from OQMD: ZnCoCuPd after structural relaxation (PBE).

Structure (CIF):
```
data_ZnCoCuPd
_chemical_formula_sum 'Zn1 Co1 Cu1 Pd1'
_cell_length_a 4.2033
_cell_length_b 4.2033
_cell_length_c 4.2033
_cell_angle_alpha 60.00
_cell_angle_beta 60.00
_cell_angle_gamma 60.00
_symmetry_space_group_name_H-M 'P 1'
_symmetry_Int_Tables_number 1
loop_
_symmetry_equiv_pos_as_xyz
'x,y,z'
loop_
_atom_site_label
_atom_site_type_symbol
_atom_site_fract_x
_atom_site_fract_y
_atom_site_fract_z
Zn1 Zn 0.0000 0.0000 0.0000
Co1 Co 0.5000 0.5000 0.5000
Cu1 Cu 0.2500 0.2500 0.2500
Pd1 Pd 0.7500 0.7500 0.7500
```

Summary:
The energy relative to the elements comes out at -0.01 eV per atom. Its electronic total energy is -4.33 eV/atom. The total magnetization comes out at 1.696 μB per cell. The calculated volume comes out at 13.13 Å³ per atom.

=====

> The lowest calculated volume belongs to which entry?

LiZnNO

=====

> Number 4 is which compound?

LiZnNO

=====

> Among the records above, which one has the lowest calculated volume?

LiZnNO

=====

> The highest electronic total energy belongs to which entry?

K2CuHgBr6